Gd3ErH | PBE | relaxed

a = 5.0119 Å, b = 5.0119 Å, c = 5.0119 Å
α = 90.00°, β = 90.00°, γ = 90.00°
Element x y z (fractional)
Gd  0.0000  0.0000  0.5000
Gd  0.0000  0.5000  0.0000
Gd  0.5000  0.0000  0.0000
Er  0.5000  0.5000  0.5000
H  0.0000  0.0000  0.0000

Computed properties:
Theoretical density: 8.442 g/cm3
DOS(E_F): 1.13 states/eV/atom
Final energy: -10.1879 eV per atom

---

SiMoBr | PBE | relaxed

a = 3.3991 Å, b = 3.6358 Å, c = 10.8469 Å
α = 90.00°, β = 98.81°, γ = 90.00°
Element x y z (fractional)
Si  0.0386  0.2500  0.0789
Si  0.9614  0.7500  0.9211
Mo  0.4426  0.2500  0.8825
Mo  0.5574  0.7500  0.1175
Br  0.3315  0.2500  0.6553
Br  0.6685  0.7500  0.3447

Computed properties:
E_form (uncorrected): -240 meV per atom
Theoretical density: 5.113 g/cm3
DOS(E_F): 0.80 states/eV/atom
Distance to the lowest polymorph of the same formula: 0.460 kcal/mol of atoms

---

Ce4TcBi | PBE | relaxed

a = 8.1514 Å, b = 8.1514 Å, c = 5.9091 Å
α = 99.63°, β = 99.63°, γ = 120.48°
Element x y z (fractional)
Ce  0.1076  0.7241  0.9139
Ce  0.1910  0.3522  0.6561
Ce  0.2759  0.8924  0.5861
Ce  0.3522  0.1910  0.1561
Ce  0.6478  0.8090  0.8439
Ce  0.7241  0.1076  0.4139
Ce  0.8090  0.6478  0.3439
Ce  0.8924  0.2759  0.0861
Tc  0.0205  0.9795  0.2500
Tc  0.9795  0.0205  0.7500
Bi  0.3826  0.6174  0.2500
Bi  0.6174  0.3826  0.7500

Computed properties:
Theoretical density: 9.043 g/cm3
DOS(E_F): 2.43 states/eV/atom
Formation energy from the elements: -281 meV/atom
Distance to the lowest polymorph of the same formula: 0.000 kcal/mol of atoms

---

CoAs2Pd | PBE | relaxed

a = 8.7005 Å, b = 8.7005 Å, c = 8.7005 Å
α = 19.85°, β = 19.85°, γ = 19.85°
Element x y z (fractional)
Co  0.0000  0.0000  0.0000
As  0.0882  0.0882  0.0882
As  0.9118  0.9118  0.9118
Pd  0.5000  0.5000  0.5000

Computed properties:
Theoretical density: 7.877 g/cm3
DOS(E_F): 0.88 states/eV/atom
Formation energy from the elements: 206 meV/atom
Distance to the lowest polymorph of the same formula: 4.750 kcal/mol of atoms

---

Co4Ni2Ir | PBE | relaxed

a = 4.8426 Å, b = 4.8426 Å, c = 4.5741 Å
α = 118.13°, β = 118.13°, γ = 70.48°
Element x y z (fractional)
Co  0.0101  0.6073  0.8101
Co  0.3927  0.9899  0.1899
Co  0.6073  0.0101  0.8101
Co  0.9899  0.3927  0.1899
Ni  0.4991  0.4991  0.7423
Ni  0.5009  0.5009  0.2577
Ir  0.0000  0.0000  0.5000

Computed properties:
Theoretical density: 10.970 g/cm3
DOS(E_F): 1.17 states/eV/atom
Formation energy from the elements: 203 meV/atom
Distance to the lowest polymorph of the same formula: 0.000 kcal/mol of atoms

---

YRe2Si | PBE | relaxed

a = 9.5398 Å, b = 9.5398 Å, c = 9.5398 Å
α = 154.30°, β = 154.30°, γ = 36.67°
Element x y z (fractional)
Y  0.0000  0.0000  0.0000
Y  0.7500  0.2500  0.5000
Re  0.2346  0.6250  0.1096
Re  0.3750  0.4846  0.6096
Re  0.5154  0.1250  0.8904
Re  0.8750  0.7654  0.3904
Si  0.2500  0.7500  0.5000
Si  0.5000  0.5000  0.0000

Computed properties:
E_form (uncorrected): 341 meV per atom
Theoretical density: 9.967 g/cm3
DOS(E_F): 1.46 states/eV/atom

---

Hg3H2Se | PBE | relaxed

a = 6.8335 Å, b = 7.0086 Å, c = 7.0543 Å
α = 92.15°, β = 92.01°, γ = 117.78°
Element x y z (fractional)
Hg  0.0902  0.3684  0.1358
Hg  0.3085  0.0272  0.1148
Hg  0.3769  0.7196  0.4670
Hg  0.6231  0.2804  0.5330
Hg  0.6915  0.9728  0.8852
Hg  0.9098  0.6316  0.8642
H  0.1337  0.0554  0.5992
H  0.1680  0.7267  0.5750
H  0.8320  0.2733  0.4250
H  0.8663  0.9446  0.4008
Se  0.2881  0.2748  0.6852
Se  0.7119  0.7252  0.3148

Computed properties:
Theoretical density: 7.605 g/cm3
Final energy: -1.7778 eV per atom

---

BaLa2Ru | PBE | relaxed

a = 5.4473 Å, b = 5.4473 Å, c = 5.4473 Å
α = 60.00°, β = 60.00°, γ = 60.00°
Element x y z (fractional)
Ba  0.0000  0.0000  0.0000
La  0.5000  0.5000  0.5000
La  0.7500  0.7500  0.7500
Ru  0.2500  0.2500  0.2500

Computed properties:
Theoretical density: 7.500 g/cm3
DOS(E_F): 1.50 states/eV/atom
Formation energy from the elements: 459 meV/atom
Distance to the lowest polymorph of the same formula: 14.864 kcal/mol of atoms

---

Na3ZrTl | PBE | relaxed

a = 6.0732 Å, b = 6.0732 Å, c = 6.0732 Å
α = 90.00°, β = 90.00°, γ = 90.00°
Element x y z (fractional)
Na  0.0000  0.0000  0.5000
Na  0.0000  0.5000  0.0000
Na  0.5000  0.0000  0.0000
Zr  0.0000  0.0000  0.0000
Tl  0.5000  0.5000  0.5000

Computed properties:
Theoretical density: 2.703 g/cm3
DOS(E_F): 1.78 states/eV/atom
Formation energy from the elements: 1112 meV/atom
Distance to the lowest polymorph of the same formula: 5.097 kcal/mol of atoms

---

Li6NdAg6 | PBE | relaxed

a = 7.1327 Å, b = 7.1327 Å, c = 7.1327 Å
α = 136.30°, β = 98.05°, γ = 97.88°
Element x y z (fractional)
Li  0.0000  0.0000  0.5000
Li  0.0000  0.5000  0.0000
Li  0.2309  0.0000  0.2309
Li  0.5000  0.0000  0.0000
Li  0.5000  0.5000  0.5000
Li  0.7691  0.0000  0.7691
Nd  0.0000  0.5000  0.5000
Ag  0.2093  0.2093  0.0000
Ag  0.3469  0.5000  0.8469
Ag  0.3485  0.8485  0.5000
Ag  0.6515  0.1515  0.5000
Ag  0.6531  0.5000  0.1531
Ag  0.7907  0.7907  0.0000

Computed properties:
Theoretical density: 5.945 g/cm3
DOS(E_F): 0.39 states/eV/atom
Formation energy from the elements: -153 meV/atom
Distance to the lowest polymorph of the same formula: 0.193 kcal/mol of atoms

---

> theoretical density of number 3 (Ce4TcBi)?

9.043 g/cm3

---

> The lowest theoretical density belongs to which entry?

Na3ZrTl

---

> Which value of theoretical density does entry 3 give?

9.043 g/cm3

---

> Which of these has the highest theoretical density?

Co4Ni2Ir